Computed, not measured: Ac3CeNd2Se6 after structural relaxation at the PBE-GGA level of DFT.

Its space-group type is C2/m (12). As for the calculated total energy: -70.8 eV per cell. For the energy relative to the elements, uncorrected, the calculation gives -22.13 eV per formula unit. Its density of states at the Fermi level is 11.26 states/eV/f.u.

Cell lengths 7.510, 7.510, 7.563 Å; angles 99.55, 99.55, 120.10 degrees
Sites, in units of the cell vectors:
Nd  0.333  0.667  0.000
Ac  0.168  0.832  0.500
Se  0.410  0.078  0.234
Se  0.253  0.253  0.764
Se  0.747  0.747  0.236
Se  0.922  0.590  0.766
Se  0.078  0.410  0.234
Ce  0.000  0.000  0.000
Ac  0.500  0.500  0.500
Se  0.590  0.922  0.766
Nd  0.667  0.333  0.000
Ac  0.832  0.168  0.500

***

Computed, not measured: Ac2CeNdSe6 after structural relaxation at the PBE-GGA level of DFT.

Its space-group type is R3 (146). As for the calculated total energy: -58.7 eV per cell. For the energy relative to the elements, uncorrected, the calculation gives -18.87 eV per formula unit. Its density of states at the Fermi level is 4.89 states/eV/f.u.

Cell lengths 7.715, 7.715, 8.039 Å; angles 61.32, 61.32, 60.00 degrees
Sites, in units of the cell vectors:
Se  0.109  0.438  0.758
Ac  0.024  0.024  0.929
Se  0.940  0.607  0.258
Nd  0.315  0.315  0.054
Se  0.195  0.940  0.258
Se  0.438  0.695  0.758
Se  0.607  0.195  0.258
Se  0.695  0.109  0.758
Ce  0.816  0.816  0.553
Ac  0.524  0.524  0.429

***

Computed, not measured: Ac2CeNdSe5 after structural relaxation at the PBE-GGA level of DFT.

Its space-group type is P4/mmm (123). As for the calculated total energy: -48.6 eV per cell. For the energy relative to the elements, uncorrected, the calculation gives -12.30 eV per formula unit. Its density of states at the Fermi level is 11.21 states/eV/f.u.

Cell lengths 5.250, 5.250, 11.150 Å; angles 90.00, 90.00, 90.00 degrees
Sites, in units of the cell vectors:
Se  0.000  0.500  0.500
Ac  0.500  0.500  0.713
Se  0.000  0.000  0.247
Nd  0.000  0.000  0.000
Ac  0.500  0.500  0.287
Ce  0.000  0.000  0.500
Se  0.000  0.000  0.753
Se  0.500  0.500  0.000
Se  0.500  0.000  0.500

***

Computed, not measured: AcCe2NdSe4 after structural relaxation at the PBE-GGA level of DFT.

Its space-group type is P2/m (10). As for the calculated total energy: -49.3 eV per cell. For the energy relative to the elements, uncorrected, the calculation gives -14.60 eV per formula unit. Its density of states at the Fermi level is 13.70 states/eV/f.u.

Cell lengths 4.261, 7.454, 7.411 Å; angles 70.81, 90.00, 90.00 degrees
Sites, in units of the cell vectors:
Nd  0.000  0.500  0.500
Se  0.500  0.244  0.745
Ce  0.000  0.000  0.000
Ac  0.500  0.500  0.000
Ce  0.500  0.000  0.500
Se  0.000  0.761  0.739
Se  0.000  0.239  0.261
Se  0.500  0.756  0.255

***

Computed, not measured: AcCeNd2Se4 after structural relaxation at the PBE-GGA level of DFT.

Its space-group type is P2/m (10). As for the calculated total energy: -48.2 eV per cell. For the energy relative to the elements, uncorrected, the calculation gives -14.65 eV per formula unit. Its density of states at the Fermi level is 9.55 states/eV/f.u.

Cell lengths 4.264, 7.430, 7.457 Å; angles 70.81, 90.00, 90.00 degrees
Sites, in units of the cell vectors:
Nd  0.500  0.000  0.500
Se  0.500  0.759  0.239
Nd  0.000  0.000  0.000
Ac  0.000  0.500  0.500
Ce  0.500  0.500  0.000
Se  0.000  0.246  0.244
Se  0.500  0.241  0.761
Se  0.000  0.754  0.756

***

Computed, not measured: AcCe3Nd4Se8 after structural relaxation at the PBE-GGA level of DFT.

Its space-group type is C2/m (12). As for the calculated total energy: -98.4 eV per cell. For the energy relative to the elements, uncorrected, the calculation gives -29.56 eV per formula unit. Its density of states at the Fermi level is 22.35 states/eV/f.u.

Cell lengths 8.518, 8.512, 8.519 Å; angles 120.01, 120.00, 90.00 degrees
Sites, in units of the cell vectors:
Nd  0.000  0.000  0.000
Ac  0.000  0.500  0.000
Ce  0.500  0.500  0.500
Se  0.255  0.753  0.510
Se  0.744  0.754  0.998
Nd  0.500  0.000  0.500
Se  0.250  0.252  0.500
Se  0.256  0.246  0.002
Nd  0.000  0.000  0.500
Se  0.745  0.247  0.490
Se  0.750  0.748  0.500
Ce  0.500  0.500  0.000
Se  0.254  0.754  0.998
Ce  0.000  0.500  0.500
Nd  0.500  0.000  0.000
Se  0.746  0.246  0.002

***

Computed, not measured: Ac2CeNdSe4 after structural relaxation at the PBE-GGA level of DFT.

Its space-group type is P2/m (10). As for the calculated total energy: -47.6 eV per cell. For the energy relative to the elements, uncorrected, the calculation gives -14.72 eV per formula unit. Its density of states at the Fermi level is 9.36 states/eV/f.u.

Cell lengths 4.318, 7.567, 7.512 Å; angles 70.81, 90.00, 90.00 degrees
Sites, in units of the cell vectors:
Nd  0.000  0.500  0.500
Ce  0.500  0.500  0.000
Se  0.000  0.266  0.244
Se  0.500  0.266  0.746
Se  0.500  0.734  0.254
Se  0.000  0.734  0.756
Ac  0.500  0.000  0.500
Ac  0.000  0.000  0.000

***

Computed, not measured: AcCe2Nd3Se6 after structural relaxation at the PBE-GGA level of DFT.

Its space-group type is C2/m (12). As for the calculated total energy: -73.2 eV per cell. For the energy relative to the elements, uncorrected, the calculation gives -22.00 eV per formula unit. Its density of states at the Fermi level is 15.49 states/eV/f.u.

Cell lengths 7.380, 7.380, 7.403 Å; angles 99.60, 99.60, 120.04 degrees
Sites, in units of the cell vectors:
Se  0.085  0.428  0.256
Ce  0.333  0.667  0.000
Se  0.572  0.915  0.744
Se  0.740  0.740  0.250
Nd  0.500  0.500  0.500
Se  0.915  0.572  0.744
Se  0.260  0.260  0.750
Ce  0.667  0.333  0.000
Se  0.428  0.085  0.256
Nd  0.161  0.839  0.500
Nd  0.839  0.161  0.500
Ac  0.000  0.000  0.000

***

Computed, not measured: Ac3Ce2NdSe6 after structural relaxation at the PBE-GGA level of DFT.

Its space-group type is C2/m (12). As for the calculated total energy: -71.9 eV per cell. For the energy relative to the elements, uncorrected, the calculation gives -22.05 eV per formula unit. Its density of states at the Fermi level is 16.16 states/eV/f.u.

Cell lengths 7.495, 7.495, 7.569 Å; angles 99.51, 99.51, 120.06 degrees
Sites, in units of the cell vectors:
Se  0.257  0.257  0.767
Se  0.078  0.413  0.234
Ce  0.333  0.667  0.000
Se  0.587  0.922  0.766
Nd  0.000  0.000  0.000
Se  0.743  0.743  0.233
Ac  0.165  0.835  0.500
Se  0.922  0.587  0.766
Ac  0.500  0.500  0.500
Ac  0.835  0.165  0.500
Ce  0.667  0.333  0.000
Se  0.413  0.078  0.234

***

Computed, not measured: AcCeNdSm after structural relaxation at the PBE-GGA level of DFT.

Its space-group type is F-43m (216). Its formation energy is 222 meV per atom. As for the calculated total energy: -18.6 eV per cell. Its density of states at the Fermi level is 13.63 states/eV/f.u.

Cell lengths 5.921, 5.921, 5.921 Å; angles 60.00, 60.00, 60.00 degrees
Sites, in units of the cell vectors:
Ce  0.500  0.500  0.500
Sm  0.750  0.750  0.750
Nd  0.250  0.250  0.250
Ac  0.000  0.000  0.000

***

- Which value of calculated total energy does entry 1 give?
  -70.8 eV per cell

***

- What is the formula in the sixth record?
  AcCe3Nd4Se8

***

- calculated total energy of number 8 (AcCe2Nd3Se6)?
  -73.2 eV per cell